(1)
VASP calculation (PBE-GGA) on Al2SeBr after structural relaxation.

Cell: 3.7619 3.7619 8.0837 Å, 90.00 90.00 120.96°
Element x y z (fractional)
1 Al 0.0000 0.0000 0.2266
2 Al 0.0000 0.0000 0.7734
3 Se 0.5000 0.5000 0.0000
4 Br 0.5000 0.5000 0.5000

Output
calculated total energy: -0.11789 Ha/atom
raw formation energy: -1.09 kcal/mol of atoms
V: 24.5 Å³/atom
Fermi-level density of states: 0.6355 states/eV per atom
space-group type: No. 65

---

(2)
VASP calculation (PBE-GGA) on Al2SeBr after structural relaxation.

Cell: 5.6560 3.6036 5.6870 Å, 90.00 100.31 90.00°
Element x y z (fractional)
1 Al 0.1782 0.0000 0.3744
2 Al 0.8218 0.0000 0.6256
3 Se 0.5000 0.5000 0.5000
4 Br 0.0000 0.5000 0.0000

Output
calculated total energy: -0.12808 Ha/atom
raw formation energy: -7.49 kcal/mol of atoms
V: 28.5 Å³/atom
Fermi-level density of states: 0.2886 states/eV per atom
space-group type: No. 10

---

(3)
VASP calculation (PBE-GGA) on AlSeBr2 after structural relaxation.

Cell: 3.8951 3.8951 8.0964 Å, 90.00 90.00 90.00°
Element x y z (fractional)
1 Al 0.0000 0.0000 0.0000
2 Se 0.5000 0.5000 0.0413
3 Br 0.0000 0.0000 0.7136
4 Br 0.5000 0.5000 0.3340

Output
calculated total energy: -0.10824 Ha/atom
raw formation energy: -6.97 kcal/mol of atoms
V: 30.7 Å³/atom
Fermi-level density of states: 0.2883 states/eV per atom
space-group type: No. 99

---

(4)
VASP calculation (PBE-GGA) on AlSeBr2 after structural relaxation.

Cell: 6.9719 3.2339 7.2599 Å, 90.00 115.53 90.00°
Element x y z (fractional)
1 Al 0.0000 0.0000 0.0000
2 Se 0.9500 0.5000 0.2421
3 Br 0.2366 0.5000 0.9425
4 Br 0.6916 0.0000 0.6920

Output
calculated total energy: -0.11983 Ha/atom
raw formation energy: -14.24 kcal/mol of atoms
V: 36.9 Å³/atom
Fermi-level density of states: 0.3284 states/eV per atom
space-group type: No. 6

---

Question: The highest Fermi-level density of states belongs to which entry?
Answer: number 1

---

Question: The lowest Fermi-level density of states belongs to which entry?
Answer: number 3

---

Question: What is the raw formation energy in the fourth record?
Answer: -14.24 kcal/mol of atoms

---

Copy entry 1 word for word.
VASP calculation (PBE-GGA) on Al2SeBr after structural relaxation.

Cell: 3.7619 3.7619 8.0837 Å, 90.00 90.00 120.96°
Element x y z (fractional)
1 Al 0.0000 0.0000 0.2266
2 Al 0.0000 0.0000 0.7734
3 Se 0.5000 0.5000 0.0000
4 Br 0.5000 0.5000 0.5000

Output
calculated total energy: -0.11789 Ha/atom
raw formation energy: -1.09 kcal/mol of atoms
V: 24.5 Å³/atom
Fermi-level density of states: 0.6355 states/eV per atom
space-group type: No. 65